(1)
Nb3AlCo | PBE | optimized geometry

a b c (Å): 4.652 4.652 4.652
angles (deg): 90.00 90.00 90.00
Fractional coordinates of all 5 atoms:
Nb  0.000  0.500  0.000
Nb  0.000  0.000  0.500
Nb  0.500  0.000  0.000
Co  0.500  0.500  0.500
Al  0.000  0.000  0.000

Properties
Space-group type: No. 221
Crystal system: cubic
Formation enthalpy at 0 K, eV per formula unit: 7.51
E above lowest polymorph, meV per atom: 956

(2)
Dy5Er2Th6 | PBE | optimized geometry

a b c (Å): 3.517 11.752 20.451
angles (deg): 90.00 90.00 90.00
Fractional coordinates of all 26 atoms:
Dy  0.500  0.295  0.435
Dy  0.500  0.705  0.565
Dy  0.500  0.795  0.065
Dy  0.500  0.205  0.935
Dy  0.500  0.581  0.281
Dy  0.500  0.419  0.719
Dy  0.500  0.081  0.219
Dy  0.500  0.919  0.781
Dy  0.500  0.500  0.000
Dy  0.500  0.000  0.500
Er  0.000  0.323  0.274
Er  0.000  0.677  0.726
Er  0.000  0.823  0.226
Er  0.000  0.177  0.774
Th  0.000  0.058  0.359
Th  0.000  0.942  0.641
Th  0.000  0.558  0.141
Th  0.000  0.442  0.859
Th  0.500  0.303  0.120
Th  0.500  0.697  0.880
Th  0.500  0.803  0.380
Th  0.500  0.197  0.620
Th  0.000  0.567  0.430
Th  0.000  0.433  0.570
Th  0.000  0.067  0.070
Th  0.000  0.933  0.930

Properties
Space-group type: No. 55
Crystal system: orthorhombic
Formation enthalpy at 0 K, eV per formula unit: 1.91

(3)
AcPm2Dy6 | PBE | optimized geometry

a b c (Å): 6.906 6.906 9.337
angles (deg): 68.30 68.30 60.00
Fractional coordinates of all 9 atoms:
Ac  0.334  0.334  0.997
Pm  0.749  0.749  0.754
Pm  0.577  0.577  0.268
Dy  0.774  0.288  0.649
Dy  0.288  0.774  0.649
Dy  0.288  0.288  0.649
Dy  0.049  0.556  0.346
Dy  0.049  0.049  0.346
Dy  0.556  0.049  0.346

Properties
Space-group type: No. 160
Crystal system: trigonal
Formation enthalpy at 0 K, eV per formula unit: 3.38
E above lowest polymorph, meV per atom: 120

(4)
NpHgPb2O8 | PBE | optimized geometry

a b c (Å): 5.137 5.133 7.129
angles (deg): 90.00 90.00 92.26
Fractional coordinates of all 12 atoms:
Np  0.000  0.000  0.000
Hg  0.000  0.000  0.500
Pb  0.500  0.500  0.750
Pb  0.500  0.500  0.250
O  0.186  0.813  0.198
O  0.697  0.699  0.000
O  0.814  0.187  0.198
O  0.814  0.187  0.802
O  0.303  0.301  0.000
O  0.186  0.813  0.802
O  0.695  0.695  0.500
O  0.305  0.305  0.500

Properties
Space-group type: No. 65
Crystal system: orthorhombic

(5)
TcSbSe | PBE | optimized geometry

a b c (Å): 4.464 4.464 4.464
angles (deg): 60.00 60.00 60.00
Fractional coordinates of all 3 atoms:
Sb  0.000  0.000  0.000
Se  0.500  0.500  0.500
Tc  0.250  0.250  0.250

Properties
Space-group type: No. 216
Crystal system: cubic
E above lowest polymorph, meV per atom: 380

(6)
Li8Ca3Ac | PBE | optimized geometry

a b c (Å): 6.222 6.222 9.975
angles (deg): 90.00 90.00 120.00
Fractional coordinates of all 12 atoms:
Li  0.333  0.667  0.499
Li  0.333  0.667  0.995
Li  0.502  0.004  0.753
Li  0.502  0.498  0.753
Li  0.996  0.498  0.753
Li  0.168  0.336  0.249
Li  0.168  0.832  0.249
Li  0.664  0.832  0.249
Ca  0.667  0.333  0.434
Ca  0.667  0.333  0.061
Ca  0.000  0.000  0.943
Ac  0.000  0.000  0.563

Properties
Space-group type: No. 156
Crystal system: trigonal
Formation enthalpy at 0 K, eV per formula unit: 0.17

(7)
MnV3Si | PBE | optimized geometry

a b c (Å): 4.405 4.405 4.405
angles (deg): 90.00 90.00 90.00
Fractional coordinates of all 5 atoms:
Si  0.000  0.000  0.000
Mn  0.500  0.500  0.500
V  0.000  0.500  0.000
V  0.000  0.000  0.500
V  0.500  0.000  0.000

Properties
Space-group type: No. 221
Crystal system: cubic
E above lowest polymorph, meV per atom: 1006

(8)
CaPtS | PBE | optimized geometry

a b c (Å): 4.402 7.645 3.915
angles (deg): 89.99 90.02 101.97
Fractional coordinates of all 6 atoms:
Ca  0.905  0.169  0.008
Ca  0.405  0.669  0.008
S  0.013  0.458  0.508
S  0.797  0.880  0.508
Pt  0.329  0.973  0.508
Pt  0.481  0.365  0.508

Properties
Space-group type: No. 10
Crystal system: monoclinic

(9)
ThZrTiIn | PBE | optimized geometry

a b c (Å): 5.166 5.166 5.166
angles (deg): 60.00 60.00 60.00
Fractional coordinates of all 4 atoms:
Ti  0.250  0.250  0.250
Zr  0.500  0.500  0.500
Th  0.000  0.000  0.000
In  0.750  0.750  0.750

Properties
Space-group type: No. 216
Crystal system: cubic
Formation enthalpy at 0 K, eV per formula unit: 0.21

(10)
LiTmMg2 | PBE | optimized geometry

a b c (Å): 5.143 5.143 5.143
angles (deg): 60.00 60.00 60.00
Fractional coordinates of all 4 atoms:
Mg  0.250  0.250  0.250
Mg  0.750  0.750  0.750
Tm  0.500  0.500  0.500
Li  0.000  0.000  0.000

Properties
Space-group type: No. 225
Crystal system: cubic
Formation enthalpy at 0 K, eV per formula unit: 0.22
E above lowest polymorph, meV per atom: 98

(11)
K2ScRu | PBE | optimized geometry

a b c (Å): 3.078 3.078 12.456
angles (deg): 90.00 90.00 112.96
Fractional coordinates of all 4 atoms:
K  0.000  0.000  0.033
K  0.000  0.000  0.467
Ru  0.500  0.500  0.250
Sc  0.500  0.500  0.750

Properties
Space-group type: No. 65
Crystal system: orthorhombic
Formation enthalpy at 0 K, eV per formula unit: 4.35
E above lowest polymorph, meV per atom: 807

(12)
Zr2NbBi4 | PBE | optimized geometry

a b c (Å): 3.996 7.315 7.901
angles (deg): 116.96 104.65 90.00
Fractional coordinates of all 7 atoms:
Zr  0.760  0.773  0.519
Zr  0.240  0.227  0.481
Nb  0.000  0.000  0.000
Bi  0.889  0.233  0.779
Bi  0.111  0.767  0.221
Bi  0.612  0.312  0.224
Bi  0.388  0.688  0.776

Properties
Space-group type: No. 12
Crystal system: monoclinic
Formation enthalpy at 0 K, eV per formula unit: -0.35

(13)
Mg5Tl | PBE | optimized geometry

a b c (Å): 6.128 6.128 7.208
angles (deg): 75.47 75.47 32.67
Fractional coordinates of all 6 atoms:
Mg  0.993  0.993  0.010
Mg  0.329  0.329  0.345
Mg  0.662  0.662  0.677
Mg  0.616  0.616  0.267
Mg  0.951  0.951  0.600
Tl  0.282  0.282  0.935

Properties
Space-group type: No. 8
Crystal system: monoclinic
Formation enthalpy at 0 K, eV per formula unit: -0.07
E above lowest polymorph, meV per atom: 7

(14)
In3ReC | PBE | optimized geometry

a b c (Å): 4.558 4.558 4.558
angles (deg): 90.00 90.00 90.00
Fractional coordinates of all 5 atoms:
Re  0.500  0.500  0.500
C  0.000  0.000  0.000
In  0.000  0.500  0.000
In  0.000  0.000  0.500
In  0.500  0.000  0.000

Properties
Space-group type: No. 221
Crystal system: cubic
Formation enthalpy at 0 K, eV per formula unit: 7.36
E above lowest polymorph, meV per atom: 0

(15)
Li2SmMg2Tl2 | PBE | optimized geometry

a b c (Å): 4.812 4.812 8.630
angles (deg): 73.81 73.81 60.00
Fractional coordinates of all 7 atoms:
Li  0.574  0.574  0.279
Li  0.426  0.426  0.721
Sm  0.000  0.000  0.000
Mg  0.137  0.137  0.590
Mg  0.863  0.863  0.410
Tl  0.738  0.738  0.785
Tl  0.262  0.262  0.215

Properties
Space-group type: No. 166
Crystal system: trigonal
Formation enthalpy at 0 K, eV per formula unit: -1.63

(16)
CuGe2Cl8 | PBE | optimized geometry

a b c (Å): 6.434 7.637 7.637
angles (deg): 73.71 86.54 86.54
Fractional coordinates of all 11 atoms:
Cu  0.000  0.000  0.000
Ge  0.673  0.805  0.805
Ge  0.327  0.195  0.195
Cl  0.174  0.295  0.923
Cl  0.826  0.077  0.705
Cl  0.326  0.847  0.847
Cl  0.674  0.153  0.153
Cl  0.174  0.923  0.295
Cl  0.826  0.705  0.077
Cl  0.762  0.628  0.628
Cl  0.238  0.372  0.372

Properties
Space-group type: No. 12
Crystal system: monoclinic

(17)
Tb2ZnPd2 | PBE | optimized geometry

a b c (Å): 5.675 5.675 7.905
angles (deg): 76.08 76.08 58.91
Fractional coordinates of all 10 atoms:
Tb  0.497  0.206  0.149
Tb  0.794  0.503  0.351
Tb  0.503  0.794  0.851
Tb  0.206  0.497  0.649
Zn  0.177  0.823  0.250
Zn  0.823  0.177  0.750
Pd  0.738  0.000  0.502
Pd  0.000  0.262  0.998
Pd  0.262  0.000  0.498
Pd  0.000  0.738  0.002

Properties
Space-group type: No. 15
Crystal system: monoclinic
Formation enthalpy at 0 K, eV per formula unit: -3.85

(18)
CaTh3C | PBE | optimized geometry

a b c (Å): 5.203 5.203 5.203
angles (deg): 90.00 90.00 90.00
Fractional coordinates of all 5 atoms:
Ca  0.500  0.500  0.500
C  0.000  0.000  0.000
Th  0.000  0.500  0.000
Th  0.000  0.000  0.500
Th  0.500  0.000  0.000

Properties
Space-group type: No. 221
Crystal system: cubic
Formation enthalpy at 0 K, eV per formula unit: -0.09

(19)
KMgSe2O6 | PBE | optimized geometry

a b c (Å): 5.551 5.551 6.629
angles (deg): 65.25 65.25 60.00
Fractional coordinates of all 10 atoms:
K  0.000  0.000  0.000
Mg  0.500  0.500  0.500
Se  0.732  0.732  0.804
Se  0.268  0.268  0.196
O  0.080  0.512  0.702
O  0.705  0.080  0.702
O  0.488  0.295  0.298
O  0.920  0.488  0.298
O  0.295  0.920  0.298
O  0.512  0.705  0.702

Properties
Space-group type: No. 148
Crystal system: trigonal

(20)
NaIn2Au | PBE | optimized geometry

a b c (Å): 5.781 8.110 16.561
angles (deg): 90.00 90.00 90.00
Fractional coordinates of all 32 atoms:
Na  0.464  0.250  0.143
Na  0.964  0.750  0.357
Na  0.536  0.750  0.857
Na  0.036  0.250  0.643
Na  0.741  0.250  0.391
Na  0.241  0.750  0.109
Na  0.259  0.750  0.609
Na  0.759  0.250  0.891
In  0.958  0.052  0.215
In  0.458  0.948  0.285
In  0.042  0.552  0.785
In  0.542  0.448  0.715
In  0.042  0.948  0.785
In  0.542  0.052  0.715
In  0.958  0.448  0.215
In  0.458  0.552  0.285
In  0.738  0.551  0.031
In  0.238  0.449  0.469
In  0.262  0.051  0.969
In  0.762  0.949  0.531
In  0.262  0.449  0.969
In  0.762  0.551  0.531
In  0.738  0.949  0.031
In  0.238  0.051  0.469
Au  0.234  0.250  0.324
Au  0.734  0.750  0.176
Au  0.766  0.750  0.676
Au  0.266  0.250  0.824
Au  0.973  0.250  0.072
Au  0.473  0.750  0.428
Au  0.027  0.750  0.928
Au  0.527  0.250  0.572

Properties
Space-group type: No. 62
Crystal system: orthorhombic
Formation enthalpy at 0 K, eV per formula unit: -1.11

(21)
VCr2GeTe6 | PBE | optimized geometry

a b c (Å): 7.066 7.066 7.305
angles (deg): 61.08 61.08 60.00
Fractional coordinates of all 10 atoms:
V  0.827  0.827  0.519
Cr  0.507  0.507  0.479
Cr  0.007  0.007  0.978
Ge  0.321  0.321  0.037
Te  0.616  0.234  0.256
Te  0.234  0.893  0.256
Te  0.893  0.616  0.256
Te  0.414  0.745  0.744
Te  0.745  0.096  0.744
Te  0.096  0.414  0.744

Properties
Space-group type: No. 146
Crystal system: trigonal

(22)
Cs3Ce2MnSe6 | PBE | optimized geometry

a b c (Å): 7.293 7.293 8.686
angles (deg): 98.07 98.07 120.45
Fractional coordinates of all 12 atoms:
Cs  0.172  0.828  0.500
Cs  0.828  0.172  0.500
Cs  0.500  0.500  0.500
Ce  0.334  0.666  0.000
Ce  0.666  0.334  0.000
Mn  0.000  0.000  0.000
Se  0.941  0.638  0.822
Se  0.762  0.762  0.179
Se  0.059  0.362  0.178
Se  0.638  0.941  0.822
Se  0.238  0.238  0.821
Se  0.362  0.059  0.178

Properties
Space-group type: No. 12
Crystal system: monoclinic

(23)
CaTmIrPd | PBE | optimized geometry

a b c (Å): 4.851 4.851 4.851
angles (deg): 60.00 60.00 60.00
Fractional coordinates of all 4 atoms:
Ca  0.250  0.250  0.250
Ir  0.000  0.000  0.000
Tm  0.750  0.750  0.750
Pd  0.500  0.500  0.500

Properties
Space-group type: No. 216
Crystal system: cubic
Formation enthalpy at 0 K, eV per formula unit: -2.86

| no. | electronic total energy (eV/atom) |
| --- | --- |
| 1 | -6.71 |
| 2 | -5.75 |
| 3 | -4.20 |
| 4 | -6.38 |
| 5 | -5.84 |
| 6 | -2.10 |
| 7 | -7.59 |
| 8 | -5.21 |
| 9 | -6.60 |
| 10 | -2.34 |
| 11 | -3.36 |
| 12 | -6.15 |
| 13 | -1.74 |
| 14 | -4.50 |
| 15 | -2.59 |
| 16 | -3.21 |
| 17 | -4.95 |
| 18 | -6.71 |
| 19 | -5.22 |
| 20 | -2.79 |
| 21 | -5.33 |
| 22 | -4.88 |
| 23 | -5.85 |